(1)
A relaxed Fe2WBr crystal, computed with PBE-GGA. Values from VASP.

The structure in Quantum ESPRESSO input format:
```
&SYSTEM
  ibrav = 0, nat = 4, ntyp = 3
/
ATOMIC_SPECIES
W 183.84 W.upf
Fe 55.84 Fe.upf
Br 79.90 Br.upf
ATOMIC_POSITIONS crystal
W 0.000 0.000 0.472
Fe 0.000 0.000 0.022
Fe 0.500 0.500 0.241
Br 0.500 0.500 0.764
CELL_PARAMETERS angstrom
2.854 -0.008 0.000
-1.175 2.601 0.000
0.000 0.000 8.524
```

Values from the calculation:
Raw formation energy ... 0.74 eV per atom
Distance to the lowest polymorph of the same formula ... 0.266 eV per atom
DFT total energy ... -7.151 eV per atom
Calculated volume ... 15.8 A^3/atom
Spin magnetization ... 1.297 μB per atom
Density ... 9.87 g/cm3
N(E_F) ... 0.96 states/eV/atom

=====

(2)
A relaxed ReRu2Pt crystal, computed with PBE-GGA. Values from VASP.

The structure in Quantum ESPRESSO input format:
```
&SYSTEM
  ibrav = 0, nat = 4, ntyp = 3
/
ATOMIC_SPECIES
Ru 101.07 Ru.upf
Re 186.21 Re.upf
Pt 195.08 Pt.upf
ATOMIC_POSITIONS crystal
Ru 0.255 0.255 0.237
Re 0.747 0.747 0.757
Pt 0.499 0.499 0.502
Ru 0.999 0.999 0.003
CELL_PARAMETERS angstrom
-2.388 -3.901 1.339
-0.567 -3.389 3.302
-3.389 2.033 2.614
```

Values from the calculation:
Distance to the lowest polymorph of the same formula ... 0.035 eV per atom
DFT total energy ... -9.246 eV per atom
Calculated volume ... 14.5 A^3/atom
Spin magnetization ... 0.000 μB per atom
Density ... 16.66 g/cm3
N(E_F) ... 0.97 states/eV/atom

=====

(3)
A relaxed Dy6TlPt2 crystal, computed with PBE-GGA. Values from VASP.

The structure in Quantum ESPRESSO input format:
```
&SYSTEM
  ibrav = 0, nat = 18, ntyp = 3
/
ATOMIC_SPECIES
Dy 162.50 Dy.upf
Pt 195.08 Pt.upf
Tl 204.38 Tl.upf
ATOMIC_POSITIONS crystal
Dy 0.526 0.708 0.817
Pt 0.342 0.000 0.342
Dy 0.697 0.366 0.670
Dy 0.891 0.708 0.183
Dy 0.797 0.764 0.562
Tl 0.000 0.500 0.500
Dy 0.797 0.236 0.033
Dy 0.203 0.236 0.438
Dy 0.474 0.292 0.183
Dy 0.109 0.292 0.817
Dy 0.203 0.764 0.967
Tl 0.000 0.000 0.000
Pt 0.500 0.365 0.865
Dy 0.303 0.634 0.330
Dy 0.697 0.027 0.330
Pt 0.500 0.635 0.135
Dy 0.303 0.973 0.670
Pt 0.658 0.000 0.658
CELL_PARAMETERS angstrom
8.072 -0.142 -2.923
-4.361 7.022 -2.324
-0.068 0.142 8.585
```

Values from the calculation:
DFT total energy ... -5.384 eV per atom
Calculated volume ... 26.9 A^3/atom
Spin magnetization ... 0.000 μB per atom
Density ... 10.76 g/cm3
N(E_F) ... 0.94 states/eV/atom

=====

(4)
A relaxed MgCd2AgHg crystal, computed with PBE-GGA. Values from VASP.

The structure in Quantum ESPRESSO input format:
```
&SYSTEM
  ibrav = 0, nat = 10, ntyp = 4
/
ATOMIC_SPECIES
Cd 112.41 Cd.upf
Hg 200.59 Hg.upf
Mg 24.30 Mg.upf
Ag 107.87 Ag.upf
ATOMIC_POSITIONS crystal
Cd 0.250 0.530 0.156
Hg 0.750 0.843 0.144
Cd 0.750 0.470 0.844
Mg 0.750 0.220 0.150
Cd 0.750 0.647 0.500
Ag 0.750 0.120 0.542
Mg 0.250 0.780 0.850
Hg 0.250 0.157 0.856
Cd 0.250 0.353 0.500
Ag 0.250 0.880 0.458
CELL_PARAMETERS angstrom
-3.511 -1.653 -2.199
2.941 -6.899 0.489
-3.834 0.681 5.608
```

Values from the calculation:
DFT total energy ... -1.357 eV per atom
Calculated volume ... 22.1 A^3/atom
Spin magnetization ... 0.000 μB per atom
Density ... 8.37 g/cm3
N(E_F) ... 0.26 states/eV/atom

=====

(5)
A relaxed NaTcI3 crystal, computed with PBE-GGA. Values from VASP.

The structure in Quantum ESPRESSO input format:
```
&SYSTEM
  ibrav = 0, nat = 10, ntyp = 3
/
ATOMIC_SPECIES
I 126.90 I.upf
Tc 98.00 Tc.upf
Na 22.99 Na.upf
ATOMIC_POSITIONS crystal
I 0.169 0.303 0.365
I 0.787 0.542 0.056
Tc 0.824 0.399 0.641
I 0.105 0.861 0.426
I 0.517 0.627 0.650
Na 0.296 0.801 0.075
I 0.851 0.986 0.997
Na 0.660 0.047 0.348
Tc 0.132 0.446 0.780
I 0.439 0.218 0.770
CELL_PARAMETERS angstrom
-2.187 3.177 -2.359
2.896 -4.496 -8.398
-8.957 -2.483 -0.124
```

Values from the calculation:
Raw formation energy ... -0.44 eV per atom
Distance to the lowest polymorph of the same formula ... 0.000 eV per atom
DFT total energy ... -3.706 eV per atom
Calculated volume ... 39.6 A^3/atom
Spin magnetization ... 0.000 μB per atom
Density ... 4.20 g/cm3

=====

(6)
A relaxed Y2NiW crystal, computed with PBE-GGA. Values from VASP.

The structure in Quantum ESPRESSO input format:
```
&SYSTEM
  ibrav = 0, nat = 4, ntyp = 3
/
ATOMIC_SPECIES
Ni 58.69 Ni.upf
Y 88.91 Y.upf
W 183.84 W.upf
ATOMIC_POSITIONS crystal
Ni 0.000 0.000 0.000
Y 0.250 0.250 0.250
W 0.500 0.500 0.500
Y 0.750 0.750 0.750
CELL_PARAMETERS angstrom
-3.840 -0.585 3.011
-3.888 -2.629 -1.459
-0.894 -4.392 2.018
```

Values from the calculation:
Distance to the lowest polymorph of the same formula ... 0.268 eV per atom
DFT total energy ... -7.515 eV per atom
Calculated volume ... 21.0 A^3/atom
Spin magnetization ... 0.385 μB per atom
Density ... 8.31 g/cm3
N(E_F) ... 1.77 states/eV/atom